1.
Na2TlSbF6 | PBE | optimized geometry

Output
E = -44.5 eV per formula unit
E_form (uncorrected) = -233 kJ per mole of atoms

Lattice parameters (Å, degrees): 6.2227 6.2227 15.3655 90.00 90.00 120.00
With the nearest neighbours (Å) after each atom.
Space group R3 (No. 146, hexagonal axes)
One atom of each set of equivalent atoms:
1 Na 0.0000 0.0000 0.0000 [3 per cell]  6 F 2.36-2.38
2 Na 0.0000 0.0000 0.4818 [3 per cell]  6 F 2.27-2.49
3 Tl 0.0000 0.0000 0.2190 [3 per cell]  6 F 2.76-2.88
4 Sb 0.0000 0.0000 0.7024 [3 per cell]  6 F 2.10-2.33
5 F 0.0050 0.3581 0.7497 [9 per cell]  2 Na 2.27-2.36, 1 Sb 2.33
6 F 0.0513 0.7821 0.6091 [9 per cell]  1 Sb 2.10


2.
SnIrPt2 | PBE | optimized geometry

Output
E = -23.1 eV per formula unit

Lattice parameters (Å, degrees): 5.1948 5.1948 14.1275 90.00 90.00 90.00
With the nearest neighbours (Å) after each atom.
Space group I-42d (No. 122)
One atom of each set of equivalent atoms:
1 Sn 0.0000 0.0000 0.0000 [4 per cell]  4 Pt 2.66
2 Ir 0.0000 0.0000 0.5000 [4 per cell]  4 Pt 2.45
3 Pt 0.2113 0.2500 0.6250 [8 per cell]  2 Ir 2.45, 2 Sn 2.66


- What is the formula in the first record?
  Na2TlSbF6


- Which of these has the lowest E?
  Na2TlSbF6